(1)
The following is a PBE calculation of a geometry-optimized Mg2GaPN4 structure, from the Alexandria database.

DFT total energy = -0.471 Ry/atom
space group = Pmn2_1 (31)
ΔE_f (raw) = -796 meV/atom
theoretical density = 3.78 Mg/m³

a = 6.194 Å, b = 5.678 Å, c = 5.124 Å
α = 90.00°, β = 90.00°, γ = 90.00°
Positions (direct):
1 Mg 0.248 0.171 0.000
2 Mg 0.252 0.829 0.500
3 Mg 0.748 0.829 0.500
4 Mg 0.752 0.171 0.000
5 Ga 0.000 0.355 0.506
6 Ga 0.500 0.645 0.006
7 P 0.000 0.665 0.009
8 P 0.500 0.335 0.509
9 N 0.000 0.393 0.888
10 N 0.000 0.656 0.331
11 N 0.222 0.813 0.910
12 N 0.278 0.187 0.410
13 N 0.500 0.344 0.831
14 N 0.500 0.607 0.388
15 N 0.722 0.187 0.410
16 N 0.778 0.813 0.910

***

(2)
The following is a PBE calculation of a geometry-optimized MgPaGaN structure, from the Alexandria database.

DFT total energy = -0.473 Ry/atom
space group = P4/nmm (129)
ΔE_f (raw) = -825 meV/atom
theoretical density = 7.62 Mg/m³

a = 4.069 Å, b = 4.069 Å, c = 8.925 Å
α = 90.00°, β = 90.00°, γ = 90.00°
Positions (direct):
1 Mg 0.250 0.750 0.000
2 Mg 0.750 0.250 0.000
3 Pa 0.250 0.250 0.377
4 Pa 0.750 0.750 0.623
5 Ga 0.250 0.250 0.789
6 Ga 0.750 0.750 0.211
7 N 0.250 0.750 0.500
8 N 0.750 0.250 0.500

***

(3)
The following is a PBE calculation of a geometry-optimized Mg2PaGaN4 structure, from the Alexandria database.

DFT total energy = -0.513 Ry/atom
space group = P2/m (10)
ΔE_f (raw) = -859 meV/atom
theoretical density = 7.01 Mg/m³

a = 5.427 Å, b = 3.359 Å, c = 5.556 Å
α = 90.00°, β = 108.48°, γ = 90.00°
Positions (direct):
1 Mg 0.000 0.000 0.000
2 Mg 0.500 0.500 0.000
3 Pa 0.000 0.500 0.500
4 Ga 0.500 0.000 0.500
5 N 0.244 0.000 0.748
6 N 0.266 0.500 0.262
7 N 0.734 0.500 0.738
8 N 0.756 0.000 0.252

***

(4)
The following is a PBE calculation of a geometry-optimized PrMg2GaN structure, from the Alexandria database.

DFT total energy = -0.325 Ry/atom
space group = Cmcm (63)
ΔE_f (raw) = -560 meV/atom
theoretical density = 4.78 Mg/m³

a = 6.882 Å, b = 6.882 Å, c = 7.877 Å
α = 90.00°, β = 90.00°, γ = 149.43°
Positions (direct):
1 Pr 0.030 0.970 0.750
2 Pr 0.970 0.030 0.250
3 Mg 0.347 0.653 0.549
4 Mg 0.347 0.653 0.951
5 Mg 0.653 0.347 0.049
6 Mg 0.653 0.347 0.451
7 Ga 0.249 0.751 0.250
8 Ga 0.751 0.249 0.750
9 N 0.500 0.500 0.000
10 N 0.500 0.500 0.500

***

(5)
The following is a PBE calculation of a geometry-optimized PuMg2GaN4 structure, from the Alexandria database.

DFT total energy = -0.545 Ry/atom
space group = P2/m (10)
ΔE_f (raw) = -687 meV/atom
theoretical density = 7.45 Mg/m³

a = 5.295 Å, b = 3.368 Å, c = 5.379 Å
α = 90.00°, β = 103.47°, γ = 90.00°
Positions (direct):
1 Pu 0.000 0.000 0.000
2 Mg 0.000 0.500 0.500
3 Mg 0.500 0.000 0.500
4 Ga 0.500 0.500 0.000
5 N 0.227 0.000 0.745
6 N 0.273 0.500 0.239
7 N 0.727 0.500 0.761
8 N 0.773 0.000 0.255

***

(6)
The following is a PBE calculation of a geometry-optimized RbMg2GaN structure, from the Alexandria database.

DFT total energy = -0.070 Ry/atom
space group = P4/mmm (123)
ΔE_f (raw) = 2153 meV/atom
theoretical density = 1.09 Mg/m³
excess energy over the best structure of this formula in the dataset = 1151 meV per atom

a = 6.997 Å, b = 6.997 Å, c = 6.783 Å
α = 90.00°, β = 90.00°, γ = 90.00°
Positions (direct):
1 Rb 0.000 0.000 0.000
2 Mg 0.000 0.500 0.000
3 Mg 0.500 0.000 0.000
4 Ga 0.000 0.000 0.500
5 N 0.500 0.500 0.500

***

(7)
The following is a PBE calculation of a geometry-optimized RbMg2GaN structure, from the Alexandria database.

DFT total energy = -0.154 Ry/atom
space group = P4/mmm (123)
ΔE_f (raw) = 1002 meV/atom
theoretical density = 2.02 Mg/m³
excess energy over the best structure of this formula in the dataset = 0 meV per atom

a = 5.073 Å, b = 5.073 Å, c = 6.951 Å
α = 90.00°, β = 90.00°, γ = 90.00°
Positions (direct):
1 Rb 0.000 0.000 0.000
2 Mg 0.000 0.500 0.500
3 Mg 0.500 0.000 0.500
4 Ga 0.000 0.000 0.500
5 N 0.500 0.500 0.000

***

(8)
The following is a PBE calculation of a geometry-optimized Mg2GaReN4 structure, from the Alexandria database.

DFT total energy = -0.504 Ry/atom
space group = Pmn2_1 (31)
ΔE_f (raw) = -366 meV/atom
theoretical density = 5.80 Mg/m³

a = 6.701 Å, b = 5.663 Å, c = 5.445 Å
α = 90.00°, β = 90.00°, γ = 90.00°
Positions (direct):
1 Mg 0.244 0.157 0.000
2 Mg 0.256 0.843 0.500
3 Mg 0.744 0.843 0.500
4 Mg 0.756 0.157 0.000
5 Ga 0.000 0.364 0.491
6 Ga 0.500 0.636 0.991
7 Re 0.000 0.657 0.006
8 Re 0.500 0.343 0.506
9 N 0.000 0.353 0.855
10 N 0.000 0.695 0.354
11 N 0.245 0.798 0.891
12 N 0.255 0.202 0.391
13 N 0.500 0.305 0.854
14 N 0.500 0.647 0.355
15 N 0.745 0.202 0.391
16 N 0.755 0.798 0.891

***

(9)
The following is a PBE calculation of a geometry-optimized MgGaSN2 structure, from the Alexandria database.

DFT total energy = -0.290 Ry/atom
space group = P4/mmm (123)
ΔE_f (raw) = 1133 meV/atom
theoretical density = 2.94 Mg/m³
excess energy over the best structure of this formula in the dataset = 459 meV per atom

a = 4.069 Å, b = 4.069 Å, c = 5.248 Å
α = 90.00°, β = 90.00°, γ = 90.00°
Positions (direct):
1 Mg 0.000 0.000 0.000
2 Ga 0.500 0.500 0.500
3 S 0.000 0.000 0.500
4 N 0.000 0.500 0.000
5 N 0.500 0.000 0.000

***

(10)
The following is a PBE calculation of a geometry-optimized MgGaSN2 structure, from the Alexandria database.

DFT total energy = -0.324 Ry/atom
space group = P4/mmm (123)
ΔE_f (raw) = 675 meV/atom
theoretical density = 3.29 Mg/m³
excess energy over the best structure of this formula in the dataset = 0 meV per atom

a = 3.795 Å, b = 3.795 Å, c = 5.403 Å
α = 90.00°, β = 90.00°, γ = 90.00°
Positions (direct):
1 Mg 0.000 0.000 0.000
2 Ga 0.500 0.500 0.500
3 S 0.500 0.500 0.000
4 N 0.000 0.500 0.500
5 N 0.500 0.000 0.500

***

(11)
The following is a PBE calculation of a geometry-optimized Mg2GaSbN structure, from the Alexandria database.

DFT total energy = -0.296 Ry/atom
space group = P4/mmm (123)
ΔE_f (raw) = -295 meV/atom
theoretical density = 4.99 Mg/m³

a = 4.271 Å, b = 4.271 Å, c = 4.636 Å
α = 90.00°, β = 90.00°, γ = 90.00°
Positions (direct):
1 Mg 0.000 0.500 0.000
2 Mg 0.500 0.000 0.000
3 Ga 0.000 0.000 0.500
4 Sb 0.500 0.500 0.500
5 N 0.000 0.000 0.000

***

(12)
The following is a PBE calculation of a geometry-optimized Mg2GaSbN4 structure, from the Alexandria database.

DFT total energy = -0.431 Ry/atom
space group = Pmn2_1 (31)
ΔE_f (raw) = -408 meV/atom
theoretical density = 4.64 Mg/m³

a = 6.611 Å, b = 5.931 Å, c = 5.400 Å
α = 90.00°, β = 90.00°, γ = 90.00°
Positions (direct):
1 Mg 0.250 0.166 0.000
2 Mg 0.250 0.834 0.500
3 Mg 0.750 0.166 0.000
4 Mg 0.750 0.834 0.500
5 Ga 0.000 0.338 0.504
6 Ga 0.500 0.662 0.004
7 Sb 0.000 0.658 0.005
8 Sb 0.500 0.342 0.505
9 N 0.000 0.343 0.869
10 N 0.000 0.650 0.379
11 N 0.248 0.175 0.392
12 N 0.252 0.825 0.892
13 N 0.500 0.350 0.879
14 N 0.500 0.657 0.369
15 N 0.748 0.825 0.892
16 N 0.752 0.175 0.392

***

(13)
The following is a PBE calculation of a geometry-optimized Mg2ScGaN structure, from the Alexandria database.

DFT total energy = -0.357 Ry/atom
space group = P4/mmm (123)
ΔE_f (raw) = -681 meV/atom
theoretical density = 3.65 Mg/m³

a = 4.300 Å, b = 4.300 Å, c = 4.368 Å
α = 90.00°, β = 90.00°, γ = 90.00°
Positions (direct):
1 Mg 0.000 0.500 0.000
2 Mg 0.500 0.000 0.000
3 Sc 0.000 0.000 0.500
4 Ga 0.500 0.500 0.500
5 N 0.000 0.000 0.000

***

(14)
The following is a PBE calculation of a geometry-optimized Mg2GaSnN4 structure, from the Alexandria database.

DFT total energy = -0.420 Ry/atom
space group = Pmn2_1 (31)
ΔE_f (raw) = -279 meV/atom
theoretical density = 4.51 Mg/m³

a = 6.583 Å, b = 6.015 Å, c = 5.445 Å
α = 90.00°, β = 90.00°, γ = 90.00°
Positions (direct):
1 Mg 0.250 0.160 0.000
2 Mg 0.250 0.840 0.500
3 Mg 0.750 0.160 0.000
4 Mg 0.750 0.840 0.500
5 Ga 0.000 0.332 0.498
6 Ga 0.500 0.668 0.998
7 Sn 0.000 0.657 0.998
8 Sn 0.500 0.343 0.498
9 N 0.000 0.335 0.860
10 N 0.000 0.644 0.383
11 N 0.241 0.171 0.387
12 N 0.259 0.829 0.887
13 N 0.500 0.356 0.883
14 N 0.500 0.665 0.360
15 N 0.741 0.829 0.887
16 N 0.759 0.171 0.387

***

(15)
The following is a PBE calculation of a geometry-optimized Mg2GaSnN structure, from the Alexandria database.

DFT total energy = -0.287 Ry/atom
space group = P4/mmm (123)
ΔE_f (raw) = -199 meV/atom
theoretical density = 4.87 Mg/m³

a = 4.200 Å, b = 4.200 Å, c = 4.855 Å
α = 90.00°, β = 90.00°, γ = 90.00°
Positions (direct):
1 Mg 0.000 0.500 0.000
2 Mg 0.500 0.000 0.000
3 Ga 0.000 0.000 0.500
4 Sn 0.500 0.500 0.500
5 N 0.000 0.000 0.000

***

(16)
The following is a PBE calculation of a geometry-optimized SrMgGaN2 structure, from the Alexandria database.

DFT total energy = -0.357 Ry/atom
space group = P2/c (13)
ΔE_f (raw) = -262 meV/atom
theoretical density = 4.07 Mg/m³

a = 5.938 Å, b = 4.780 Å, c = 6.092 Å
α = 90.00°, β = 98.71°, γ = 90.00°
Positions (direct):
1 Sr 0.000 0.249 0.250
2 Sr 0.000 0.751 0.750
3 Mg 0.500 0.010 0.750
4 Mg 0.500 0.990 0.250
5 Ga 0.500 0.500 0.000
6 Ga 0.500 0.500 0.500
7 N 0.286 0.205 0.964
8 N 0.286 0.795 0.464
9 N 0.714 0.205 0.536
10 N 0.714 0.795 0.036

***

(17)
The following is a PBE calculation of a geometry-optimized Mg2GaTcN structure, from the Alexandria database.

DFT total energy = -0.350 Ry/atom
space group = P4/mmm (123)
ΔE_f (raw) = 221 meV/atom
theoretical density = 5.14 Mg/m³

a = 3.980 Å, b = 3.980 Å, c = 4.700 Å
α = 90.00°, β = 90.00°, γ = 90.00°
Positions (direct):
1 Mg 0.000 0.500 0.000
2 Mg 0.500 0.000 0.000
3 Ga 0.000 0.000 0.500
4 Tc 0.500 0.500 0.500
5 N 0.000 0.000 0.000

***

(18)
The following is a PBE calculation of a geometry-optimized Mg2GaTcN4 structure, from the Alexandria database.

DFT total energy = -0.485 Ry/atom
space group = Pmn2_1 (31)
ΔE_f (raw) = -369 meV/atom
theoretical density = 4.41 Mg/m³

a = 6.616 Å, b = 5.839 Å, c = 5.308 Å
α = 90.00°, β = 90.00°, γ = 90.00°
Positions (direct):
1 Mg 0.250 0.171 0.000
2 Mg 0.250 0.829 0.500
3 Mg 0.750 0.171 0.000
4 Mg 0.750 0.829 0.500
5 Ga 0.000 0.340 0.504
6 Ga 0.500 0.660 0.004
7 Tc 0.000 0.667 0.002
8 Tc 0.500 0.333 0.502
9 N 0.000 0.360 0.877
10 N 0.000 0.653 0.365
11 N 0.247 0.822 0.901
12 N 0.253 0.178 0.401
13 N 0.500 0.347 0.865
14 N 0.500 0.640 0.377
15 N 0.747 0.178 0.401
16 N 0.753 0.822 0.901

***

(19)
The following is a PBE calculation of a geometry-optimized MgGaTe2N structure, from the Alexandria database.

DFT total energy = -0.256 Ry/atom
space group = P4/mmm (123)
ΔE_f (raw) = 369 meV/atom
theoretical density = 5.02 Mg/m³
excess energy over the best structure of this formula in the dataset = 0 meV per atom

a = 5.852 Å, b = 5.852 Å, c = 3.511 Å
α = 90.00°, β = 90.00°, γ = 90.00°
Positions (direct):
1 Mg 0.000 0.000 0.000
2 Ga 0.500 0.500 0.500
3 Te 0.000 0.500 0.500
4 Te 0.500 0.000 0.500
5 N 0.500 0.500 0.000

***

(20)
The following is a PBE calculation of a geometry-optimized MgGaTe2N structure, from the Alexandria database.

DFT total energy = -0.241 Ry/atom
space group = P4/mmm (123)
ΔE_f (raw) = 567 meV/atom
theoretical density = 4.62 Mg/m³
excess energy over the best structure of this formula in the dataset = 198 meV per atom

a = 5.792 Å, b = 5.792 Å, c = 3.889 Å
α = 90.00°, β = 90.00°, γ = 90.00°
Positions (direct):
1 Mg 0.000 0.000 0.000
2 Ga 0.500 0.500 0.500
3 Te 0.000 0.500 0.000
4 Te 0.500 0.000 0.000
5 N 0.000 0.000 0.500

***

(21)
The following is a PBE calculation of a geometry-optimized MgGaTeN2 structure, from the Alexandria database.

DFT total energy = -0.276 Ry/atom
space group = P4/mmm (123)
ΔE_f (raw) = 1133 meV/atom
theoretical density = 3.89 Mg/m³
excess energy over the best structure of this formula in the dataset = 225 meV per atom

a = 4.179 Å, b = 4.179 Å, c = 6.107 Å
α = 90.00°, β = 90.00°, γ = 90.00°
Positions (direct):
1 Mg 0.000 0.000 0.000
2 Ga 0.500 0.500 0.500
3 Te 0.000 0.000 0.500
4 N 0.000 0.500 0.000
5 N 0.500 0.000 0.000

***

(22)
The following is a PBE calculation of a geometry-optimized MgGaTeN2 structure, from the Alexandria database.

DFT total energy = -0.292 Ry/atom
space group = P4/mmm (123)
ΔE_f (raw) = 908 meV/atom
theoretical density = 4.34 Mg/m³
excess energy over the best structure of this formula in the dataset = 0 meV per atom

a = 4.004 Å, b = 4.004 Å, c = 5.955 Å
α = 90.00°, β = 90.00°, γ = 90.00°
Positions (direct):
1 Mg 0.000 0.000 0.000
2 Ga 0.500 0.500 0.500
3 Te 0.500 0.500 0.000
4 N 0.000 0.500 0.500
5 N 0.500 0.000 0.500

***

(23)
The following is a PBE calculation of a geometry-optimized ThMgGaN structure, from the Alexandria database.

DFT total energy = -0.434 Ry/atom
space group = P4/nmm (129)
ΔE_f (raw) = -815 meV/atom
theoretical density = 6.69 Mg/m³

a = 4.219 Å, b = 4.219 Å, c = 9.480 Å
α = 90.00°, β = 90.00°, γ = 90.00°
Positions (direct):
1 Th 0.250 0.250 0.114
2 Th 0.750 0.750 0.886
3 Mg 0.250 0.750 0.500
4 Mg 0.750 0.250 0.500
5 Ga 0.250 0.250 0.697
6 Ga 0.750 0.750 0.303
7 N 0.250 0.750 0.000
8 N 0.750 0.250 0.000

***

(24)
The following is a PBE calculation of a geometry-optimized MgTi2GaN structure, from the Alexandria database.

DFT total energy = -0.479 Ry/atom
space group = P4/mmm (123)
ΔE_f (raw) = -765 meV/atom
theoretical density = 4.74 Mg/m³

a = 4.131 Å, b = 4.131 Å, c = 4.184 Å
α = 90.00°, β = 90.00°, γ = 90.00°
Positions (direct):
1 Mg 0.000 0.000 0.000
2 Ti 0.000 0.500 0.500
3 Ti 0.500 0.000 0.500
4 Ga 0.500 0.500 0.000
5 N 0.000 0.000 0.500